Record 1
Density functional theory data (PBE) for an optimized crystal structure of FeCoMo2.

a = 3.0979 Å, b = 3.0979 Å, c = 5.7477 Å
α = 90.00°, β = 90.00°, γ = 90.00°
Last column: magnetic moment on the atom in μB.
Fractional positions:
1 Mo 0.5000 0.5000 0.2569  0.23
2 Mo 0.0000 0.0000 0.9924  -0.14
3 Co 0.0000 0.0000 0.5141  1.47
4 Fe 0.5000 0.5000 0.7366  2.48

Calculated values
crystal system: tetragonal
calculated formation energy: 158 meV/atom
energy relative to the lowest polymorph listed for this composition: 71 meV per atom

Record 2
Density functional theory data (PBE) for an optimized crystal structure of VGaI6.

a = 7.0795 Å, b = 7.5421 Å, c = 7.9954 Å
α = 74.63°, β = 55.61°, γ = 62.01°
Last column: magnetic moment on the atom in μB.
Fractional positions:
1 I 0.4655 0.0000 0.2661  -0.10
2 I 0.1451 0.7122 0.7480  -0.03
3 I 0.1428 0.7122 0.2520  -0.03
4 I 0.8572 0.2878 0.7480  -0.03
5 I 0.8549 0.2878 0.2520  -0.03
6 I 0.5345 0.0000 0.7339  -0.10
7 V 0.0000 0.0000 0.5000  1.77
8 Ga 0.0000 0.0000 0.0000  0.02

Calculated values
crystal system: monoclinic
formation energy (no corrections): -0.334 eV/atom

Record 3
Density functional theory data (PBE) for an optimized crystal structure of Ho2InCuTe4.

a = 4.3237 Å, b = 7.7591 Å, c = 15.2390 Å
α = 90.00°, β = 90.00°, γ = 106.18°
Fractional positions:
1 Te 0.0000 0.0000 0.0000
2 Te 0.5558 0.1116 0.2500
3 Te 0.7296 0.4591 0.8847
4 Te 0.7296 0.4591 0.6153
5 Te 0.2704 0.5409 0.3847
6 Te 0.0000 0.0000 0.5000
7 Te 0.2704 0.5409 0.1153
8 Te 0.4442 0.8884 0.7500
9 In 0.1165 0.2330 0.7500
10 In 0.8835 0.7670 0.2500
11 Cu 0.1573 0.3146 0.2500
12 Cu 0.8427 0.6854 0.7500
13 Ho 0.6345 0.2690 0.4328
14 Ho 0.6345 0.2690 0.0672
15 Ho 0.3655 0.7310 0.9328
16 Ho 0.3655 0.7310 0.5672

Calculated values
crystal system: orthorhombic
formation energy (no corrections): -0.914 eV/atom

Record 4
Density functional theory data (PBE) for an optimized crystal structure of In6GaSn2.

a = 3.7359 Å, b = 6.3745 Å, c = 10.8999 Å
α = 74.90°, β = 90.00°, γ = 107.04°
Fractional positions:
1 In 0.6819 0.3637 0.9212
2 In 0.3181 0.6363 0.0788
3 In 0.3504 0.7008 0.3849
4 In 0.9859 0.9718 0.8456
5 In 0.0141 0.0282 0.1544
6 In 0.6496 0.2992 0.6151
7 Sn 0.3433 0.6867 0.6907
8 Sn 0.6567 0.3133 0.3093
9 Ga 0.0000 0.0000 0.5000

Calculated values
crystal system: monoclinic
calculated formation energy: 31 meV/atom
energy relative to the lowest polymorph listed for this composition: 0 meV per atom

Record 5
Density functional theory data (PBE) for an optimized crystal structure of LiYFeHg2.

a = 4.9882 Å, b = 4.3851 Å, c = 4.9882 Å
α = 90.00°, β = 90.00°, γ = 90.00°
Last column: magnetic moment on the atom in μB.
Fractional positions:
1 Li 0.0000 0.5000 0.0000  0.01
2 Hg 0.5000 0.0000 0.0000  0.01
3 Hg 0.0000 0.0000 0.5000  0.01
4 Y 0.5000 0.5000 0.5000  0.05
5 Fe 0.0000 0.0000 0.0000  -0.14

Calculated values
crystal system: tetragonal
calculated formation energy: 308 meV/atom

Record 6
Density functional theory data (PBE) for an optimized crystal structure of Mg2Sb3.

a = 4.7795 Å, b = 4.7795 Å, c = 7.1616 Å
α = 90.00°, β = 90.00°, γ = 120.00°
Fractional positions:
1 Mg 0.3333 0.6667 0.8395
2 Mg 0.6667 0.3333 0.1605
3 Sb 0.6667 0.3333 0.5835
4 Sb 0.3333 0.6667 0.4165
5 Sb 0.0000 0.0000 0.0000

Calculated values
crystal system: trigonal
formation energy (no corrections): -0.116 eV/atom
energy relative to the lowest polymorph listed for this composition: 3 meV per atom

Record 7
Density functional theory data (PBE) for an optimized crystal structure of MoAuI2N.

a = 6.0238 Å, b = 6.0238 Å, c = 3.7990 Å
α = 90.00°, β = 90.00°, γ = 90.00°
Last column: magnetic moment on the atom in μB.
Fractional positions:
1 Mo 0.5000 0.5000 0.5000  3.80
2 I 0.5000 0.0000 0.0000  -0.04
3 I 0.0000 0.5000 0.0000  -0.04
4 N 0.0000 0.0000 0.5000  -0.12
5 Au 0.0000 0.0000 0.0000  -0.04

Calculated values
crystal system: tetragonal
formation energy (no corrections): 1.437 eV/atom
energy relative to the lowest polymorph listed for this composition: 967 meV per atom

Record 8
Density functional theory data (PBE) for an optimized crystal structure of Ac4Si.

a = 6.0772 Å, b = 6.0772 Å, c = 6.0772 Å
α = 90.00°, β = 90.00°, γ = 90.00°
Fractional positions:
1 Ac 0.5000 0.5000 0.0000
2 Ac 0.0000 0.5000 0.5000
3 Ac 0.5000 0.0000 0.5000
4 Ac 0.0000 0.0000 0.0000
5 Si 0.5000 0.5000 0.5000

Calculated values
crystal system: cubic
formation energy (no corrections): -0.002 eV/atom
energy relative to the lowest polymorph listed for this composition: 82 meV per atom

Copy entry 1 word for word.
Density functional theory data (PBE) for an optimized crystal structure of FeCoMo2.

a = 3.0979 Å, b = 3.0979 Å, c = 5.7477 Å
α = 90.00°, β = 90.00°, γ = 90.00°
Last column: magnetic moment on the atom in μB.
Fractional positions:
1 Mo 0.5000 0.5000 0.2569  0.23
2 Mo 0.0000 0.0000 0.9924  -0.14
3 Co 0.0000 0.0000 0.5141  1.47
4 Fe 0.5000 0.5000 0.7366  2.48

Calculated values
crystal system: tetragonal
calculated formation energy: 158 meV/atom
energy relative to the lowest polymorph listed for this composition: 71 meV per atom